The following is a DFT calculation (PBE) of a relaxed structure of SmCuGe2.

Results
Magnetization (μB per atom): 0.0000
Calculated volume (A^3/atom): 19.42
Symmetry: No. 166
DOS at the Fermi energy (states/eV/cell): 0.85
Energy of formation from the pure elements (eV/atom): -0.448

abc: 4.1600 4.1600 5.7133
angles: 68.65 68.65 60.00
Sites, in units of the cell vectors:
Sm 0.0000 0.0000 0.0000
Cu 0.5000 0.5000 0.5000
Ge 0.7810 0.7810 0.6570
Ge 0.2190 0.2190 0.3430

---

The following is a DFT calculation (PBE) of a relaxed structure of SmCu6Ge4.

Results
Magnetization (μB per atom): 0.0000
Calculated volume (A^3/atom): 15.50
Symmetry: No. 187
DOS at the Fermi energy (states/eV/cell): 3.51
Energy of formation from the pure elements (eV/atom): -0.166

abc: 4.0189 6.9981 6.9981
angles: 120.00 90.00 90.00
Sites, in units of the cell vectors:
Cu 0.0000 0.5401 0.4599
Cu 0.5000 0.2083 0.7917
Cu 0.0000 0.5401 0.0801
Cu 0.0000 0.9199 0.4599
Cu 0.5000 0.2083 0.4166
Cu 0.5000 0.5834 0.7917
Ge 0.5000 0.3863 0.1932
Ge 0.0000 0.3333 0.6667
Ge 0.5000 0.8068 0.6137
Ge 0.5000 0.8068 0.1932
Sm 0.0000 0.0000 0.0000

---

The following is a DFT calculation (PBE) of a relaxed structure of SmCu4Ge2.

Results
Magnetization (μB per atom): 0.0000
Calculated volume (A^3/atom): 16.15
Symmetry: No. 166
DOS at the Fermi energy (states/eV/cell): 3.15
ΔE to the lowest computed polymorph (meV per atom): 3.1
Energy of formation from the pure elements (eV/atom): -0.318

abc: 4.1538 4.1538 7.9369
angles: 74.83 74.83 60.00
Sites, in units of the cell vectors:
Cu 0.1410 0.1410 0.5769
Cu 0.5619 0.5619 0.3143
Cu 0.8590 0.8590 0.4231
Cu 0.4381 0.4381 0.6857
Ge 0.7490 0.7490 0.7530
Ge 0.2510 0.2510 0.2470
Sm 0.0000 0.0000 0.0000

---

The following is a DFT calculation (PBE) of a relaxed structure of Sm2Cu5Ge4.

Results
Magnetization (μB per atom): 0.0000
Calculated volume (A^3/atom): 17.51
Symmetry: No. 69
DOS at the Fermi energy (states/eV/cell): 4.14
Energy of formation from the pure elements (eV/atom): -0.295

abc: 5.6697 5.5127 7.7243
angles: 79.12 68.47 59.05
Sites, in units of the cell vectors:
Cu 0.2500 0.5000 0.5000
Cu 0.5000 0.5000 0.0000
Cu 0.5000 0.0000 0.0000
Cu 0.0000 0.5000 0.0000
Cu 0.7500 0.5000 0.5000
Ge 0.7787 0.7160 0.7266
Ge 0.5053 0.7160 0.2734
Ge 0.4947 0.2840 0.7266
Ge 0.2213 0.2840 0.2734
Sm 0.1442 0.0000 0.7117
Sm 0.8558 0.0000 0.2883

---

The following is a DFT calculation (PBE) of a relaxed structure of SmCu3Ge2.

Results
Magnetization (μB per atom): 0.0000
Calculated volume (A^3/atom): 16.78
Symmetry: No. 12
DOS at the Fermi energy (states/eV/cell): 5.13
Energy of formation from the pure elements (eV/atom): -0.393

abc: 4.0447 7.8584 7.2629
angles: 114.58 90.00 104.91
Sites, in units of the cell vectors:
Ge 0.8053 0.6106 0.3044
Ge 0.4783 0.9567 0.8154
Ge 0.1947 0.3894 0.6956
Ge 0.5217 0.0433 0.1846
Cu 0.4059 0.8118 0.3316
Cu 0.9615 0.9230 0.6204
Cu 0.6886 0.3772 0.4565
Cu 0.0385 0.0770 0.3796
Cu 0.3114 0.6228 0.5435
Cu 0.5941 0.1882 0.6684
Sm 0.8517 0.7034 0.9297
Sm 0.1483 0.2966 0.0703

---

The following is a DFT calculation (PBE) of a relaxed structure of SmCuGe2.

Results
Magnetization (μB per atom): 0.0000
Calculated volume (A^3/atom): 19.35
Symmetry: No. 123
DOS at the Fermi energy (states/eV/cell): 1.37
Energy of formation from the pure elements (eV/atom): -0.352

abc: 4.1941 4.2959 4.2959
angles: 90.00 90.00 90.00
Sites, in units of the cell vectors:
Cu 0.5000 0.5000 0.5000
Sm 0.5000 0.0000 0.0000
Ge 0.0000 0.5000 0.0000
Ge 0.0000 0.0000 0.5000